# 1
{"formula": "Tl2CrPdF6", "functional": "PBE with a Hubbard U", "state": "optimized geometry", "cell": [[-3.303, 4.381, 2.840], [-4.521, -4.441, 1.593], [4.022, -1.556, 7.078]], "species": ["Tl", "F", "Pd", "F", "F", "F", "F", "Tl", "Tl", "F", "Cr", "Tl", "F", "F", "Cr", "F", "F", "F", "F", "Pd"], "frac_coords": [[0.500, 0.750, 0.747], [0.775, 0.960, 0.000], [0.000, 0.750, 0.500], [0.225, 0.960, 0.000], [0.500, 0.250, 0.738], [0.275, 0.460, 0.500], [0.725, 0.040, 0.500], [0.500, 0.750, 0.253], [0.000, 0.250, 0.247], [0.000, 0.750, 0.762], [0.500, 0.250, 0.500], [0.000, 0.250, 0.753], [0.000, 0.750, 0.238], [0.775, 0.540, 0.000], [0.000, 0.750, 0.000], [0.725, 0.460, 0.500], [0.275, 0.040, 0.500], [0.225, 0.540, 0.000], [0.500, 0.250, 0.262], [0.500, 0.250, 0.000]], "crystal_system": "orthorhombic", "dos_ef_per_ev_cell": 3.27, "magmom_total_mub_per_cell": 8.00}


# 2
{"formula": "ZnCrPdF6", "functional": "PBE with a Hubbard U", "state": "optimized geometry", "cell": [[-4.433, 2.900, 0.981], [-0.283, -4.380, -3.125], [-1.893, -5.612, 8.038]], "species": ["Pd", "F", "Zn", "F", "F", "F", "Cr", "F", "F", "Cr", "F", "Pd", "F", "Zn", "F", "F", "F", "F"], "frac_coords": [[0.000, 0.000, 0.000], [0.016, 0.373, 0.643], [0.667, 0.333, 0.750], [0.373, 0.016, 0.143], [0.984, 0.627, 0.357], [0.984, 0.357, 0.143], [0.333, 0.667, 0.750], [0.357, 0.373, 0.857], [0.627, 0.643, 0.643], [0.667, 0.333, 0.250], [0.016, 0.643, 0.857], [0.000, 0.000, 0.500], [0.373, 0.357, 0.357], [0.333, 0.667, 0.250], [0.643, 0.016, 0.357], [0.627, 0.984, 0.857], [0.357, 0.984, 0.643], [0.643, 0.627, 0.143]], "crystal_system": "trigonal", "dos_ef_per_ev_cell": 11.55, "magmom_total_mub_per_cell": 4.00}


Computed total DFT energy (no corrections) (eV per atom) in order:
-4.79; -4.83